Record 1
{"formula": "LaBiO", "functional": "GGA-PBE", "state": "optimized geometry", "lattice": [[6.2752, 0.0000, 0.0000], [0.0000, 3.9022, 0.0000], [0.0000, -1.9511, 3.3794]], "species": ["Bi", "La", "O"], "fractional_positions": [[0.6666, 0.6667, 0.3333], [0.1662, 0.0000, 0.0000], [0.1671, 0.3333, 0.6667]], "volume_a3_per_atom": 27.58, "magmom_total_mub_per_cell": 0.000, "space_group": "No. 187", "relative_energy_ev_per_atom": 0.016, "raw_formation_energy_kj_per_mol_atoms": -189}

Record 2
{"formula": "NdZr2PdN4", "functional": "GGA-PBE", "state": "optimized geometry", "lattice": [[3.3140, 0.0000, 0.0000], [-1.6570, 5.6540, 0.0000], [0.0000, 0.0000, 11.5925]], "species": ["N", "Pd", "Zr", "Nd", "N", "N", "N", "N", "N", "Zr", "N", "Zr", "Pd", "Zr", "Nd", "N"], "fractional_positions": [[0.0000, 0.0000, 0.0000], [0.8543, 0.7086, 0.7500], [0.3684, 0.7367, 0.9494], [0.8822, 0.7643, 0.2500], [0.7314, 0.4628, 0.6053], [0.5361, 0.0721, 0.2500], [0.0000, 0.0000, 0.5000], [0.4639, 0.9279, 0.7500], [0.7314, 0.4628, 0.8947], [0.3684, 0.7367, 0.5506], [0.2686, 0.5372, 0.3947], [0.6316, 0.2633, 0.4494], [0.1457, 0.2914, 0.2500], [0.6316, 0.2633, 0.0506], [0.1178, 0.2357, 0.7500], [0.2686, 0.5372, 0.1053]], "volume_a3_per_atom": 13.58, "magmom_total_mub_per_cell": 0.000, "space_group": "No. 63", "raw_formation_energy_kj_per_mol_atoms": -99}

Record 3
{"formula": "Rb3YSc2S6", "functional": "GGA-PBE", "state": "optimized geometry", "lattice": [[-5.3796, 3.1968, 2.7374], [2.2063, -5.8808, 2.6835], [5.7220, 4.7648, 2.8358]], "species": ["Rb", "Sc", "S", "Rb", "S", "S", "Rb", "Sc", "S", "Y", "S", "S"], "fractional_positions": [[0.5000, 0.5000, 0.5000], [0.6668, 0.3332, 0.0000], [0.2841, 0.2841, 0.8145], [0.1647, 0.8353, 0.5000], [0.5919, 0.9379, 0.8138], [0.0621, 0.4081, 0.1862], [0.8353, 0.1647, 0.5000], [0.3332, 0.6668, 0.0000], [0.7159, 0.7159, 0.1855], [0.0000, 0.0000, 0.0000], [0.4081, 0.0621, 0.1862], [0.9379, 0.5919, 0.8138]], "volume_a3_per_atom": 25.71, "magmom_total_mub_per_cell": 0.000, "space_group": "No. 12", "raw_formation_energy_kj_per_mol_atoms": -169}

Record 4
{"formula": "Na2TePtSe", "functional": "GGA-PBE", "state": "optimized geometry", "lattice": [[5.4887, 0.0000, 0.0000], [0.0000, 4.6696, 0.0000], [0.0000, 0.0000, 5.4887]], "species": ["Na", "Se", "Pt", "Te", "Na"], "fractional_positions": [[0.0000, 0.0000, 0.5000], [0.0000, 0.0000, 0.0000], [0.0000, 0.5000, 0.0000], [0.5000, 0.5000, 0.5000], [0.5000, 0.0000, 0.0000]], "volume_a3_per_atom": 28.13, "magmom_total_mub_per_cell": 1.002, "space_group": "No. 123", "raw_formation_energy_kj_per_mol_atoms": -22}

Record 5
{"formula": "AlZn2Ga", "functional": "GGA-PBE", "state": "optimized geometry", "lattice": [[2.7876, 0.0000, 0.0000], [-1.3938, 4.7096, -0.7693], [0.0000, 0.0012, 4.9479]], "species": ["Al", "Ga", "Zn", "Zn"], "fractional_positions": [[0.0000, 0.0000, 0.5000], [0.5000, 0.0000, 0.0000], [0.2538, 0.5076, 0.2550], [0.7462, 0.4924, 0.7450]], "formation_enthalpy_0k_ev_per_atom": 0.027, "volume_a3_per_atom": 16.24, "magmom_total_mub_per_cell": 0.000, "space_group": "No. 12", "relative_energy_ev_per_atom": 0.000}

Record 6
{"formula": "LaSm2Sb", "functional": "GGA-PBE", "state": "optimized geometry", "lattice": [[-3.9691, 0.8661, 2.6175], [2.2741, -1.7697, 4.0340], [1.6814, 4.5448, 1.0459]], "species": ["Sm", "Sm", "Sb", "La"], "fractional_positions": [[0.0000, 0.5000, 0.0000], [0.0000, 0.0000, 0.5000], [0.5000, 0.0000, 0.0000], [0.5000, 0.5000, 0.5000]], "volume_a3_per_atom": 29.69, "magmom_total_mub_per_cell": 0.000, "space_group": "No. 123", "relative_energy_ev_per_atom": 0.025, "raw_formation_energy_kj_per_mol_atoms": -54}

Record 7
{"formula": "PrDyPa2Sb4", "functional": "GGA-PBE", "state": "optimized geometry", "lattice": [[4.4090, 0.0000, 0.0000], [0.0000, 7.6357, 0.1315], [0.0000, -2.6694, 7.2162]], "species": ["Sb", "Pa", "Sb", "Dy", "Sb", "Pr", "Pa", "Sb"], "fractional_positions": [[0.5000, 0.2575, 0.2570], [0.5000, 0.0000, 0.5000], [0.0000, 0.7459, 0.2530], [0.5000, 0.5000, 0.0000], [0.0000, 0.2541, 0.7470], [0.0000, 0.0000, 0.0000], [0.0000, 0.5000, 0.5000], [0.5000, 0.7425, 0.7430]], "volume_a3_per_atom": 30.56, "magmom_total_mub_per_cell": 1.806, "space_group": "No. 10", "raw_formation_energy_kj_per_mol_atoms": -75}

Record 8
{"formula": "AuCl2", "functional": "GGA-PBE", "state": "optimized geometry", "lattice": [[-2.5675, 2.5666, 0.3666], [-3.5674, -4.4142, 5.9205], [7.1506, 5.9084, 8.7137]], "species": ["Cl", "Cl", "Au", "Cl", "Cl", "Cl", "Cl", "Au", "Cl", "Cl", "Au", "Au"], "fractional_positions": [[0.2500, 0.2546, 0.5002], [0.2500, 0.8437, 0.7488], [0.7500, 0.8002, 0.8744], [0.7500, 0.2453, 0.0002], [0.2500, 0.7547, 0.9998], [0.7500, 0.6563, 0.2488], [0.2500, 0.3437, 0.7512], [0.7500, 0.3002, 0.6256], [0.7500, 0.1563, 0.2512], [0.7500, 0.7454, 0.4998], [0.2500, 0.1998, 0.1256], [0.2500, 0.6998, 0.3744]], "volume_a3_per_atom": 31.74, "magmom_total_mub_per_cell": 2.848, "space_group": "No. 62", "raw_formation_energy_kj_per_mol_atoms": -18}